# 1
A plane-wave DFT calculation with GGA-PBE was carried out for crystalline Sr2CuSe at its relaxed geometry.

Results
- raw formation energy (eV per atom) = -0.841
- DFT total energy (eV for the cell shown) = -28.61
- magnetic moment (μB/f.u.) = 0.0
- N(E_F) (states/eV per atom) = 0.45

Cell lengths 11.8016, 4.1601, 4.7623 Å; angles 90.00, 90.04, 90.00 degrees
Closest atoms and distances in Å follow each position.
Space group Cm (No. 8)
Unique sites:
Sr (0.0000, 0.0000, 0.0000)  3 Cu 3.13-3.46, 4 Se 3.19
Sr (0.2362, 0.5000, 0.5006)  4 Cu 3.18, 3 Se 3.23-3.39
Cu (0.2655, 0.0000, 0.0013)  7 Sr 3.13-3.46, 2 Se 3.32-3.33
Se (0.4626, 0.0000, 0.4998)  7 Sr 3.19-3.39, 2 Cu 3.32-3.33


# 2
A plane-wave DFT calculation with GGA-PBE was carried out for crystalline BiAu2N at its relaxed geometry.

Results
- raw formation energy (eV per atom) = 0.705
- DFT total energy (eV for the cell shown) = -63.76
- magnetic moment (μB/f.u.) = 0.0
- N(E_F) (states/eV per atom) = 0.32
- polymorph energy (0 for the lowest one) (meV/atom) = 0

Cell lengths 5.4415, 5.4415, 12.0695 Å; angles 90.00, 90.00, 90.00 degrees
Closest atoms and distances in Å follow each position.
Space group I-42d (No. 122)
Unique sites:
Bi (0.0000, 0.0000, 0.0000)  8 Au 3.21-3.58
Au (0.0422, 0.7500, 0.6250)  2 N 2.04
N (0.0000, 0.0000, 0.5000)  4 Au 2.04


# 3
A plane-wave DFT calculation with GGA-PBE was carried out for crystalline ScMo2P at its relaxed geometry.

Results
- DFT total energy (eV for the cell shown) = -101.62
- energy of formation from the pure elements (eV per atom) = -0.12
- magnetic moment (μB/f.u.) = 0.0
- N(E_F) (states/eV per atom) = 0.89

Cell lengths 3.2084, 3.2084, 22.9872 Å; angles 90.00, 90.00, 120.00 degrees
Closest atoms and distances in Å follow each position.
Space group R3m (No. 160, hexagonal axes)
Unique sites:
Sc (0.0000, 0.0000, 0.0000)  3 P 2.66, 3 Mo 2.89
Mo (0.0000, 0.0000, 0.5153)  3 P 2.43, 3 Mo 2.71
Mo (0.0000, 0.0000, 0.7629)  3 Mo 2.71, 3 Sc 2.89
P (0.0000, 0.0000, 0.2503)  3 Mo 2.43, 3 Sc 2.66


# 4
A plane-wave DFT calculation with GGA-PBE was carried out for crystalline Hg12Pd5Br3 at its relaxed geometry.

Results
- raw formation energy (eV per atom) = 0.077
- DFT total energy (eV for the cell shown) = -264.54
- magnetic moment (μB/f.u.) = 0.0
- N(E_F) (states/eV per atom) = 0.31

Cell lengths 16.9851, 16.9851, 16.9851 Å; angles 90.00, 90.00, 90.00 degrees
Closest atoms and distances in Å follow each position.
Space group Ia-3d (No. 230)
Unique sites:
Hg (0.0455, 0.0713, 0.6339)  2 Pd 2.68-2.69
Pd (0.0000, 0.0000, 0.0000)  6 Hg 2.69
Pd (0.0000, 0.2500, 0.3750)  4 Hg 2.68
Br (0.0000, 0.2500, 0.1250)  4 Hg 3.14


# 5
A plane-wave DFT calculation with GGA-PBE was carried out for crystalline SrMoP at its relaxed geometry.

Results
- DFT total energy (eV for the cell shown) = -67.06
- energy of formation from the pure elements (eV per atom) = 0.39
- magnetic moment (μB/f.u.) = 0.6
- N(E_F) (states/eV per atom) = 1.25
- polymorph energy (0 for the lowest one) (meV/atom) = 999

Cell lengths 6.4435, 6.4435, 6.4435 Å; angles 90.00, 90.00, 90.00 degrees
Closest atoms and distances in Å follow each position.
Space group F-43m (No. 216)
Unique sites:
Sr (0.0000, 0.0000, 0.0000)  4 P 2.79
Mo (0.0000, 0.0000, 0.5000)  4 P 2.79
P (0.2500, 0.2500, 0.7500)  4 Sr 2.79, 4 Mo 2.79


# 6
A plane-wave DFT calculation with GGA-PBE was carried out for crystalline NdSn3Pd2 at its relaxed geometry.

Results
- DFT total energy (eV for the cell shown) = -121.46
- energy of formation from the pure elements (eV per atom) = -0.53
- magnetic moment (μB/f.u.) = 0.0
- N(E_F) (states/eV per atom) = 0.43

Cell lengths 10.1974, 9.0524, 5.8339 Å; angles 90.00, 90.00, 90.00 degrees
Closest atoms and distances in Å follow each position.
Space group Cmcm (No. 63)
Unique sites:
Nd (0.0000, 0.0819, 0.2500)  3 Sn 3.06-3.32, 4 Pd 3.25, 2 Nd 3.27
Sn (0.0000, 0.4205, 0.2500)  4 Pd 2.81, 1 Nd 3.06
Sn (0.1593, 0.2380, 0.7500)  4 Pd 2.86
Pd (0.2249, 0.5000, 0.0000)  6 Sn 2.81-2.86, 2 Pd 2.92


# 7
A plane-wave DFT calculation with GGA-PBE was carried out for crystalline ScIrCl2 at its relaxed geometry.

Results
- raw formation energy (eV per atom) = -0.310
- DFT total energy (eV for the cell shown) = -60.38
- magnetic moment (μB/f.u.) = 1.2
- N(E_F) (states/eV per atom) = 0.99
- polymorph energy (0 for the lowest one) (meV/atom) = 618

Cell lengths 3.1358, 3.1358, 29.7193 Å; angles 90.00, 90.00, 120.00 degrees
Closest atoms and distances in Å follow each position.
Space group R-3m (No. 166, hexagonal axes)
Unique sites:
Sc (0.0000, 0.0000, 0.0000)  6 Cl 2.49
Ir (0.0000, 0.0000, 0.5000)  6 Ir 3.14
Cl (0.0000, 0.0000, 0.2757)  3 Sc 2.49


# 8
A plane-wave DFT calculation with GGA-PBE was carried out for crystalline Ba3Tl8Ag3 at its relaxed geometry.

Results
- DFT total energy (eV for the cell shown) = -72.39
- energy of formation from the pure elements (eV per atom) = -0.21
- magnetic moment (μB/f.u.) = 0.0
- N(E_F) (states/eV per atom) = 0.51
- polymorph energy (0 for the lowest one) (meV/atom) = 8

Cell lengths 5.2576, 11.0681, 14.6107 Å; angles 90.00, 90.00, 90.00 degrees
Closest atoms and distances in Å follow each position.
Space group Immm (No. 71)
Unique sites:
Ba (0.0000, 0.0000, 0.0000)  12 Tl 3.69-3.83
Ba (0.0000, 0.0000, 0.2860)  2 Ag 3.47, 8 Tl 3.65-3.77
Tl (0.0000, 0.2971, 0.1349)  1 Ag 2.99, 2 Tl 3.11
Tl (0.0000, 0.3535, 0.3619)  4 Tl 3.11-3.37, 1 Ag 3.15
Ag (0.0000, 0.1355, 0.5000)  3 Ag 3.00-3.03, 2 Tl 3.15
Ag (0.0000, 0.5000, 0.0000)  4 Tl 2.99, 4 Ag 3.03


# 9
A plane-wave DFT calculation with GGA-PBE was carried out for crystalline Pa2ZnGa4 at its relaxed geometry.

Results
- DFT total energy (eV for the cell shown) = -32.58
- energy of formation from the pure elements (eV per atom) = -0.03
- magnetic moment (μB/f.u.) = 0.1
- N(E_F) (states/eV per atom) = 1.42

Cell lengths 7.1106, 7.1106, 3.0346 Å; angles 90.00, 90.00, 90.00 degrees
Closest atoms and distances in Å follow each position.
Space group P4/mmm (No. 123)
Unique sites:
Pa (0.0000, 0.5000, 0.0000)  8 Ga 2.99, 2 Pa 3.03
Zn (0.0000, 0.0000, 0.5000)  2 Zn 3.03, 4 Ga 3.06
Ga (0.3041, 0.3041, 0.5000)  4 Ga 2.79-3.03, 4 Pa 2.99, 1 Zn 3.06


# 10
A plane-wave DFT calculation with GGA-PBE was carried out for crystalline LaTb2PmSe4 at its relaxed geometry.

Results
- raw formation energy (eV per atom) = -1.847
- DFT total energy (eV for the cell shown) = -47.65
- magnetic moment (μB/f.u.) = 0.0
- N(E_F) (states/eV per atom) = 0.60

Cell lengths 7.1896, 4.1180, 7.3453 Å; angles 90.00, 108.79, 90.00 degrees
Closest atoms and distances in Å follow each position.
Space group P2/m (No. 10)
Unique sites:
La (0.0000, 0.0000, 0.0000)  6 Se 3.02
Tb (0.0000, 0.5000, 0.5000)  6 Se 2.91
Tb (0.5000, 0.0000, 0.5000)  6 Se 2.88-2.89
Pm (0.5000, 0.5000, 0.0000)  6 Se 2.99-3.00
Se (0.2488, 0.0000, 0.7379)  3 Tb 2.89-2.91, 2 Pm 2.99, 1 La 3.02
Se (0.2582, 0.5000, 0.2648)  3 Tb 2.88-2.91, 1 Pm 3.00, 2 La 3.02


# 11
A plane-wave DFT calculation with GGA-PBE was carried out for crystalline TaTiB2 at its relaxed geometry.

Results
- DFT total energy (eV for the cell shown) = -105.60
- energy of formation from the pure elements (eV per atom) = -0.52
- magnetic moment (μB/f.u.) = 0.0
- N(E_F) (states/eV per atom) = 0.37
- polymorph energy (0 for the lowest one) (meV/atom) = 322

Cell lengths 3.2324, 3.2324, 15.7681 Å; angles 90.00, 90.00, 120.00 degrees
Closest atoms and distances in Å follow each position.
Space group R-3m (No. 166, hexagonal axes)
Unique sites:
Ta (0.0000, 0.0000, 0.0000)  6 B 2.29
Ti (0.0000, 0.0000, 0.5000)  6 B 2.27
B (0.0000, 0.0000, 0.2487)  3 Ti 2.27, 3 Ta 2.29


# 12
A plane-wave DFT calculation with GGA-PBE was carried out for crystalline BeVCdP2 at its relaxed geometry.

Results
- DFT total energy (eV for the cell shown) = -21.34
- energy of formation from the pure elements (eV per atom) = 0.65
- magnetic moment (μB/f.u.) = 0.0
- N(E_F) (states/eV per atom) = 1.14

Cell lengths 4.2355, 4.2355, 4.3119 Å; angles 90.00, 90.00, 90.00 degrees
Closest atoms and distances in Å follow each position.
Space group P4/mmm (No. 123)
Unique sites:
Be (0.0000, 0.0000, 0.0000)  4 P 2.12, 2 V 2.16
V (0.0000, 0.0000, 0.5000)  2 Be 2.16
Cd (0.5000, 0.5000, 0.5000)  4 V 2.99, 8 P 3.02
P (0.0000, 0.5000, 0.0000)  2 Be 2.12